(1)
This record from Alexandria via LeMat-Bulk describes crystalline La2InGePd6 at its relaxed geometry. The functional is PBE.

It has space group P-1 (No. 2), with a = 5.605 Å, b = 6.543 Å, c = 6.933 Å, α = 81.44°, β = 66.22° and γ = 64.65°. The inequivalent atoms are La at (0.247, 0.270, 0.236), In at (0.000, 0.000, 0.000), Ge at (0.500, 0.500, 0.500), Pd at (0.229, 0.286, 0.763), Pd at (0.252, 0.918, 0.580) and Pd at (0.275, 0.714, 0.238).

The formation energy is -673 meV/atom. The value obtained for the total magnetization is 0.00 μB/cell.


(2)
This record from Alexandria via LeMat-Bulk describes crystalline LaIn2GePd2 at its relaxed geometry. The functional is PBE.

It has space group I4/mmm (No. 139), with a = 4.458 Å, b = 4.458 Å, c = 15.520 Å, α = 90.00°, β = 90.00° and γ = 90.00°. The inequivalent atoms are La at (0.000, 0.000, 0.000), In at (0.000, 0.500, 0.250), Ge at (0.000, 0.000, 0.500) and Pd at (0.000, 0.000, 0.349).

The formation energy is -431 meV/atom. The value obtained for the total magnetization is 0.00 μB/cell.


(3)
This record from Alexandria via LeMat-Bulk describes crystalline LaInGe2Pd5 at its relaxed geometry. The functional is PBE.

It has space group P4/mmm (No. 123), with a = 4.692 Å, b = 4.692 Å, c = 7.816 Å, α = 90.00°, β = 90.00° and γ = 90.00°. The inequivalent atoms are La at (0.000, 0.000, 0.000), In at (0.000, 0.000, 0.500), Ge at (0.500, 0.500, 0.343), Pd at (0.000, 0.500, 0.242) and Pd at (0.500, 0.500, 0.000).

The formation energy is -528 meV/atom. The value obtained for the total magnetization is 0.00 μB/cell.


(4)
This record from Alexandria via LeMat-Bulk describes crystalline LaIn2Ge2Pd7 at its relaxed geometry. The functional is PBE.

It has space group C2/m (No. 12), with a = 5.788 Å, b = 5.664 Å, c = 14.410 Å, α = 90.00°, β = 99.89° and γ = 90.00°. The inequivalent atoms are La at (0.000, 0.000, 0.000), In at (0.120, 0.000, 0.383), Ge at (0.110, 0.500, 0.263), Pd at (0.000, 0.500, 0.000), Pd at (0.155, 0.500, 0.434) and Pd at (0.181, 0.249, 0.839).

The formation energy is -447 meV/atom. The value obtained for the total magnetization is 0.00 μB/cell.


(5)
This record from Alexandria via LeMat-Bulk describes crystalline La3InGe2Pd9 at its relaxed geometry. The functional is PBE.

It has space group P-3m1 (No. 164), with a = 5.7878 Å, b = 5.7878 Å, c = 11.7519 Å, α = 90.00°, β = 90.00° and γ = 120.00°. The inequivalent atoms are La at (0.0000, 0.0000, 0.0000), La at (0.3333, 0.6667, 0.7449), In at (0.0000, 0.0000, 0.5000), Ge at (0.3333, 0.6667, 0.1604), Pd at (0.0000, 0.5000, 0.0000) and Pd at (0.1614, 0.3229, 0.3132).

The formation energy is -621 meV/atom. The value obtained for the total magnetization is 0.00 μB/cell.


(6)
This record from Alexandria via LeMat-Bulk describes crystalline La2InGePt6 at its relaxed geometry. The functional is PBE.

It has space group P-1 (No. 2), with a = 5.524 Å, b = 6.637 Å, c = 7.062 Å, α = 81.16°, β = 67.02° and γ = 65.45°. The inequivalent atoms are La at (0.039, 0.208, 0.212), In at (0.500, 0.500, 0.000), Ge at (0.500, 0.000, 0.500), Pt at (0.013, 0.236, 0.743), Pt at (0.347, 0.401, 0.403) and Pt at (0.489, 0.764, 0.259).

The formation energy is -793 meV/atom. The value obtained for the total magnetization is 0.00 μB/cell.


(7)
This record from Alexandria via LeMat-Bulk describes crystalline La3In2Ge2Pt4 at its relaxed geometry. The functional is PBE.

It has space group P-3m1 (No. 164), with a = 4.5183 Å, b = 4.5183 Å, c = 14.5700 Å, α = 90.00°, β = 90.00° and γ = 120.00°. The inequivalent atoms are La at (0.0000, 0.0000, 0.0000), La at (0.0000, 0.0000, 0.2663), In at (0.3333, 0.6667, 0.5617), Ge at (0.3333, 0.6667, 0.1453), Pt at (0.3333, 0.6667, 0.3698) and Pt at (0.3333, 0.6667, 0.8696).

The formation energy is -953 meV/atom. The value obtained for the total magnetization is 0.00 μB/cell.


(8)
This record from Alexandria via LeMat-Bulk describes crystalline La2InGe2Rh5 at its relaxed geometry. The functional is PBE.

It has space group P4/mbm (No. 127), with a = 10.127 Å, b = 10.127 Å, c = 3.642 Å, α = 90.00°, β = 90.00° and γ = 90.00°. The inequivalent atoms are La at (0.177, 0.323, 0.000), In at (0.000, 0.000, 0.000), Ge at (0.121, 0.621, 0.000), Rh at (0.000, 0.500, 0.500) and Rh at (0.068, 0.783, 0.500).

The formation energy is -735 meV/atom. The value obtained for the total magnetization is 0.00 μB/cell.


(9)
This record from Alexandria via LeMat-Bulk describes crystalline LaInGe2Rh5 at its relaxed geometry. The functional is PBE.

It has space group P4/mmm (No. 123), with a = 4.066 Å, b = 4.066 Å, c = 10.983 Å, α = 90.00°, β = 90.00° and γ = 90.00°. The inequivalent atoms are La at (0.000, 0.000, 0.000), In at (0.000, 0.000, 0.500), Ge at (0.500, 0.500, 0.219), Rh at (0.000, 0.500, 0.337) and Rh at (0.500, 0.500, 0.000).

The formation energy is -374 meV/atom. The value obtained for the total magnetization is 0.00 μB/cell.


(10)
This record from Alexandria via LeMat-Bulk describes crystalline La2InGe4Rh3 at its relaxed geometry. The functional is PBE.

It has space group P-4m2 (No. 115), with a = 4.357 Å, b = 4.357 Å, c = 10.539 Å, α = 90.00°, β = 90.00° and γ = 90.00°. The inequivalent atoms are La at (0.000, 0.500, 0.235), In at (0.000, 0.000, 0.500), Ge at (0.000, 0.000, 0.000), Ge at (0.000, 0.500, 0.653), Ge at (0.500, 0.500, 0.000), Rh at (0.000, 0.500, 0.884) and Rh at (0.500, 0.500, 0.500).

The formation energy is -761 meV/atom. The value obtained for the total magnetization is 0.00 μB/cell.


(11)
This record from Alexandria via LeMat-Bulk describes crystalline La2InGe3Rh4 at its relaxed geometry. The functional is PBE.

It has space group P-4m2 (No. 115), with a = 4.297 Å, b = 4.297 Å, c = 10.640 Å, α = 90.00°, β = 90.00° and γ = 90.00°. The inequivalent atoms are La at (0.000, 0.500, 0.246), In at (0.000, 0.000, 0.500), Ge at (0.000, 0.500, 0.877), Ge at (0.500, 0.500, 0.500), Rh at (0.000, 0.000, 0.000), Rh at (0.000, 0.500, 0.646) and Rh at (0.500, 0.500, 0.000).

The formation energy is -815 meV/atom. The value obtained for the total magnetization is 0.00 μB/cell.


(12)
This record from Alexandria via LeMat-Bulk describes crystalline LaSmInGe at its relaxed geometry. The functional is PBE.

It has space group F-43m (No. 216), with a = 7.610 Å, b = 7.610 Å, c = 7.610 Å, α = 90.00°, β = 90.00° and γ = 90.00°. The inequivalent atoms are La at (0.000, 0.000, 0.000), Sm at (0.000, 0.000, 0.500), In at (0.250, 0.250, 0.750) and Ge at (0.250, 0.250, 0.250).

The formation energy is -518 meV/atom. The value obtained for the total magnetization is 0.00 μB/cell.


(13)
This record from Alexandria via LeMat-Bulk describes crystalline SrLaInGe at its relaxed geometry. The functional is PBE.

It has space group F-43m (No. 216), with a = 7.808 Å, b = 7.808 Å, c = 7.808 Å, α = 90.00°, β = 90.00° and γ = 90.00°. The inequivalent atoms are Sr at (0.000, 0.000, 0.000), La at (0.000, 0.000, 0.500), In at (0.250, 0.250, 0.750) and Ge at (0.250, 0.250, 0.250).

The formation energy is -456 meV/atom. The value obtained for the total magnetization is 0.00 μB/cell.


(14)
This record from Alexandria via LeMat-Bulk describes crystalline LaTbInGe at its relaxed geometry. The functional is PBE.

It has space group F-43m (No. 216), with a = 7.555 Å, b = 7.555 Å, c = 7.555 Å, α = 90.00°, β = 90.00° and γ = 90.00°. The inequivalent atoms are La at (0.000, 0.000, 0.000), Tb at (0.000, 0.000, 0.500), In at (0.250, 0.250, 0.750) and Ge at (0.250, 0.250, 0.250).

The formation energy is -514 meV/atom. The value obtained for the total magnetization is 0.00 μB/cell.


(15)
This record from Alexandria via LeMat-Bulk describes crystalline LaIn2TcGe at its relaxed geometry. The functional is PBE.

It has space group P4/mmm (No. 123), with a = 5.150 Å, b = 5.150 Å, c = 5.703 Å, α = 90.00°, β = 90.00° and γ = 90.00°. The inequivalent atoms are La at (0.000, 0.000, 0.000), In at (0.000, 0.500, 0.500), Tc at (0.500, 0.500, 0.000) and Ge at (0.000, 0.000, 0.500).

The formation energy is 821 meV/atom. The value obtained for the total magnetization is 2.90 μB/cell.


(16)
This record from Alexandria via LeMat-Bulk describes crystalline LaIn2GeTe4 at its relaxed geometry. The functional is PBE.

It has space group P2/m (No. 10), with a = 7.831 Å, b = 4.484 Å, c = 7.942 Å, α = 90.00°, β = 108.60° and γ = 90.00°. The inequivalent atoms are La at (0.000, 0.000, 0.000), In at (0.000, 0.500, 0.500), In at (0.500, 0.000, 0.500), Ge at (0.500, 0.500, 0.000), Te at (0.258, 0.500, 0.238) and Te at (0.268, 0.000, 0.769).

For the raw formation energy, the calculation gives -437 kJ/mol of formula units. The value obtained for the total magnetization is 0.00 μB/cell.


(17)
This record from Alexandria via LeMat-Bulk describes crystalline LaTmInGe at its relaxed geometry. The functional is PBE.

It has space group F-43m (No. 216), with a = 7.504 Å, b = 7.504 Å, c = 7.504 Å, α = 90.00°, β = 90.00° and γ = 90.00°. The inequivalent atoms are La at (0.000, 0.000, 0.000), Tm at (0.000, 0.000, 0.500), In at (0.250, 0.250, 0.250) and Ge at (0.250, 0.250, 0.750).

The formation energy is -493 meV/atom. The value obtained for the total magnetization is 0.00 μB/cell.


(18)
This record from Alexandria via LeMat-Bulk describes crystalline LaYInGe at its relaxed geometry. The functional is PBE.

It has space group F-43m (No. 216), with a = 7.551 Å, b = 7.551 Å, c = 7.551 Å, α = 90.00°, β = 90.00° and γ = 90.00°. The inequivalent atoms are La at (0.000, 0.000, 0.000), Y at (0.000, 0.000, 0.500), In at (0.250, 0.250, 0.250) and Ge at (0.250, 0.250, 0.750).

The formation energy is -524 meV/atom. The value obtained for the total magnetization is 0.00 μB/cell.


(19)
This record from Alexandria via LeMat-Bulk describes crystalline La2Zn4InGe3 at its relaxed geometry. The functional is PBE.

It has space group P-4m2 (No. 115), with a = 4.434 Å, b = 4.434 Å, c = 10.651 Å, α = 90.00°, β = 90.00° and γ = 90.00°. The inequivalent atoms are La at (0.000, 0.500, 0.246), Zn at (0.000, 0.000, 0.000), Zn at (0.000, 0.500, 0.639), Zn at (0.500, 0.500, 0.000), In at (0.000, 0.000, 0.500), Ge at (0.000, 0.500, 0.870) and Ge at (0.500, 0.500, 0.500).

The formation energy is -432 meV/atom. The value obtained for the total magnetization is 0.00 μB/cell.


(20)
This record from Alexandria via LeMat-Bulk describes crystalline Li2InGe at its relaxed geometry. The functional is PBE.

It has space group I-42d (No. 122), with a = 7.550 Å, b = 7.550 Å, c = 5.740 Å, α = 90.00°, β = 90.00° and γ = 90.00°. The inequivalent atoms are Li at (0.226, 0.250, 0.125), In at (0.000, 0.000, 0.500) and Ge at (0.000, 0.000, 0.000).

The formation energy is -8 meV/atom. The value obtained for the total magnetization is 0.00 μB/cell.


(21)
This record from Alexandria via LeMat-Bulk describes crystalline Li3In3Ge at its relaxed geometry. The functional is PBE.

It has space group Pnma (No. 62), with a = 11.059 Å, b = 4.407 Å, c = 12.037 Å, α = 90.00°, β = 90.00° and γ = 90.00°. The inequivalent atoms are Li at (0.023, 0.250, 0.087), Li at (0.104, 0.750, 0.501), Li at (0.192, 0.750, 0.711), In at (0.094, 0.250, 0.321), In at (0.166, 0.250, 0.870), In at (0.190, 0.750, 0.055) and Ge at (0.078, 0.250, 0.645).

The formation energy is -176 meV/atom. The value obtained for the total magnetization is 0.00 μB/cell.


(22)
This record from Alexandria via LeMat-Bulk describes crystalline LiInGe at its relaxed geometry. The functional is PBE.

It has space group Pm (No. 6), with a = 4.348 Å, b = 3.008 Å, c = 5.089 Å, α = 90.00°, β = 112.24° and γ = 90.00°. The inequivalent atoms are Li at (0.000, 0.000, 0.000), In at (0.289, 0.500, 0.610) and Ge at (0.610, 0.500, 0.221).

The formation energy is -113 meV/atom. The value obtained for the total magnetization is 0.00 μB/cell.


(23)
This record from Alexandria via LeMat-Bulk describes crystalline LiInGe at its relaxed geometry. The functional is PBE.

It has space group Pm (No. 6), with a = 6.064 Å, b = 2.938 Å, c = 6.874 Å, α = 90.00°, β = 98.06° and γ = 90.00°. The inequivalent atoms are Li at (0.000, 0.000, 0.000), Li at (0.317, 0.000, 0.404), In at (0.495, 0.500, 0.085), In at (0.670, 0.500, 0.668), Ge at (0.166, 0.500, 0.699) and Ge at (0.931, 0.500, 0.334).

The formation energy is -71 meV/atom. The value obtained for the total magnetization is 0.00 μB/cell.